Model P:
# TaRhBr2

A PBEsol-optimized structure of TaRhBr2 (meta-GGA SCAN, Alexandria).

a = 3.129 Å, b = 5.264 Å, c = 5.264 Å
α = 110.94°, β = 104.95°, γ = 104.95°
Atoms (fractional coordinates):
Br1 0.000 0.500 0.000
Rh1 0.000 0.000 0.000
Br2 0.000 0.000 0.500
Ta1 0.000 0.500 0.500

Results
V   72.1 Å³/cell
SG   C2/m, No. 12



Model Q:
# TaRhBr2

A PBEsol-optimized structure of TaRhBr2 (meta-GGA SCAN, Alexandria).

a = 3.004 Å, b = 3.207 Å, c = 8.769 Å
α = 90.00°, β = 90.00°, γ = 117.92°
Last column: magnetic moment on the atom in μB.
Atoms (fractional coordinates):
Br1 0.000 0.000 0.249  0.04
Ta1 0.500 0.000 0.000  -0.01
Br2 0.000 0.000 0.751  0.04
Rh1 0.500 0.000 0.500  1.01

Results
V   74.6 Å³/cell
SG   Cmmm, No. 65



Going by the energies, model P is most stable and the next is 2.2 kJ/mol of atoms up.



Model P:
# TcRhBr

A PBEsol-optimized structure of TcRhBr (meta-GGA SCAN, Alexandria).

a = 3.117 Å, b = 4.106 Å, c = 4.106 Å
α = 120.00°, β = 90.00°, γ = 90.00°
Atoms (fractional coordinates):
Br1 0.060 0.000 0.000
Rh1 0.703 0.667 0.333
Tc1 0.237 0.333 0.667

Results
V   45.5 Å³/cell
SG   P3m1, No. 156



Model Q:
# TcRhBr

A PBEsol-optimized structure of TcRhBr (meta-GGA SCAN, Alexandria).

a = 4.077 Å, b = 4.077 Å, c = 4.077 Å
α = 60.00°, β = 60.00°, γ = 60.00°
Atoms (fractional coordinates):
Tc1 0.500 0.500 0.500
Br1 0.250 0.250 0.250
Rh1 0.000 0.000 0.000

Results
V   47.9 Å³/cell
SG   F-43m, No. 216



Going by the energies, model P is most stable and the next is 31.3 kJ/mol of atoms up.



Model P:
# RhW2Br

A PBEsol-optimized structure of RhW2Br (meta-GGA SCAN, Alexandria).

a = 2.882 Å, b = 2.882 Å, c = 8.826 Å
α = 80.60°, β = 80.60°, γ = 60.00°
Atoms (fractional coordinates):
Br1 0.500 0.500 0.500
W1 0.251 0.251 0.246
W2 0.749 0.749 0.754
Rh1 0.000 0.000 0.000

Results
V   62.4 Å³/cell
SG   R-3m, No. 166



Model Q:
# RhW2Br

A PBEsol-optimized structure of RhW2Br (meta-GGA SCAN, Alexandria).

a = 2.977 Å, b = 2.977 Å, c = 6.852 Å
α = 90.00°, β = 90.00°, γ = 90.00°
Atoms (fractional coordinates):
Rh1 0.500 0.500 0.500
W1 0.000 0.000 0.749
W2 0.000 0.000 0.251
Br1 0.500 0.500 0.000

Results
V   60.7 Å³/cell
SG   P4/mmm, No. 123



Model R:
# RhW2Br

A PBEsol-optimized structure of RhW2Br (meta-GGA SCAN, Alexandria).

a = 2.959 Å, b = 4.481 Å, c = 4.845 Å
α = 99.58°, β = 90.00°, γ = 90.00°
Atoms (fractional coordinates):
Br1 0.500 0.000 0.500
W1 0.500 0.500 0.000
Rh1 0.000 0.500 0.500
W2 0.000 0.000 0.000

Results
V   63.3 Å³/cell
SG   P2/m, No. 10



Going by the energies, model P is most stable and the next is 20.0 kJ/mol of atoms up.



Model P:
# YRh2Br

A PBEsol-optimized structure of YRh2Br (meta-GGA SCAN, Alexandria).

a = 3.313 Å, b = 3.313 Å, c = 8.174 Å
α = 78.29°, β = 78.29°, γ = 60.03°
Atoms (fractional coordinates):
Rh1 0.749 0.749 0.752
Br1 0.000 0.000 0.000
Rh2 0.251 0.251 0.248
Y1 0.500 0.500 0.500

Results
V   75.5 Å³/cell
SG   R-3m, No. 166



Model Q:
# YRh2Br

A PBEsol-optimized structure of YRh2Br (meta-GGA SCAN, Alexandria).

a = 3.213 Å, b = 3.919 Å, c = 5.667 Å
α = 90.00°, β = 90.00°, γ = 90.00°
Atoms (fractional coordinates):
Br1 0.500 0.500 0.500
Y1 0.500 0.500 0.000
Rh1 0.000 0.000 0.252
Rh2 0.000 0.000 0.748

Results
V   71.4 Å³/cell
SG   Pmmm, No. 47



Going by the energies, model Q is most stable and the next is 25.1 kJ/mol of atoms up.



Model P:
# ZrRh2Br

A PBEsol-optimized structure of ZrRh2Br (meta-GGA SCAN, Alexandria).

a = 3.241 Å, b = 3.241 Å, c = 8.145 Å
α = 78.53°, β = 78.53°, γ = 60.00°
Atoms (fractional coordinates):
Rh1 0.755 0.755 0.734
Rh2 0.245 0.245 0.266
Zr1 0.500 0.500 0.500
Br1 0.000 0.000 0.000

Results
V   72.1 Å³/cell
SG   R-3m, No. 166



Model Q:
# ZrRh2Br

A PBEsol-optimized structure of ZrRh2Br (meta-GGA SCAN, Alexandria).

a = 3.268 Å, b = 4.801 Å, c = 4.661 Å
α = 99.66°, β = 90.00°, γ = 109.90°
Atoms (fractional coordinates):
Br1 0.500 0.000 0.000
Rh1 0.270 0.539 0.275
Rh2 0.730 0.461 0.725
Zr1 0.000 0.000 0.500

Results
V   67.7 Å³/cell
SG   C2/m, No. 12



Going by the energies, model Q is most stable and the next is 10.8 kJ/mol of atoms up.



Model P:
# ZrRh2Br

A PBEsol-optimized structure of ZrRh2Br (meta-GGA SCAN, Alexandria).

a = 3.322 Å, b = 3.322 Å, c = 6.264 Å
α = 90.00°, β = 90.00°, γ = 90.00°
Atoms (fractional coordinates):
Zr1 0.500 0.500 0.000
Br1 0.500 0.500 0.500
Rh1 0.000 0.000 0.222
Rh2 0.000 0.000 0.778

Results
V   69.1 Å³/cell
SG   P4/mmm, No. 123



Model Q:
# ZrRh2Br

A PBEsol-optimized structure of ZrRh2Br (meta-GGA SCAN, Alexandria).

a = 3.892 Å, b = 3.892 Å, c = 5.132 Å
α = 112.29°, β = 112.29°, γ = 90.00°
Atoms (fractional coordinates):
Br1 0.250 0.750 0.500
Zr1 0.500 0.500 0.000
Rh1 0.000 0.000 0.000
Rh2 0.750 0.250 0.500

Results
V   65.6 Å³/cell
SG   I-4m2, No. 119



Going by the energies, model P is most stable and the next is 34.9 kJ/mol of atoms up.



Model P:
# RuBr

A PBEsol-optimized structure of RuBr (meta-GGA SCAN, Alexandria).

a = 2.994 Å, b = 2.994 Å, c = 9.531 Å
α = 80.96°, β = 80.96°, γ = 60.00°
Atoms (fractional coordinates):
Br1 0.894 0.894 0.317
Ru1 0.632 0.632 0.104
Ru2 0.368 0.368 0.896
Br2 0.106 0.106 0.683

Results
V   72.7 Å³/cell
SG   R-3m, No. 166



Model Q:
# RuBr

A PBEsol-optimized structure of RuBr (meta-GGA SCAN, Alexandria).

a = 3.039 Å, b = 3.398 Å, c = 8.034 Å
α = 90.00°, β = 90.00°, γ = 90.00°
Last column: magnetic moment on the atom in μB.
Atoms (fractional coordinates):
Ru1 0.500 0.750 0.097  0.45
Br1 0.000 0.250 0.291  -0.01
Ru2 0.500 0.250 0.903  0.45
Br2 0.000 0.750 0.709  -0.01

Results
V   83.0 Å³/cell
SG   Pmma, No. 51



Model R:
# RuBr

A PBEsol-optimized structure of RuBr (meta-GGA SCAN, Alexandria).

a = 2.985 Å, b = 3.795 Å, c = 7.382 Å
α = 104.90°, β = 101.67°, γ = 90.00°
Atoms (fractional coordinates):
Br1 0.887 0.137 0.773
Ru1 0.676 0.426 0.352
Ru2 0.324 0.574 0.648
Br2 0.113 0.863 0.227

Results
V   79.0 Å³/cell
SG   Imma, No. 74



Model S:
# RuBr

A PBEsol-optimized structure of RuBr (meta-GGA SCAN, Alexandria).

a = 3.682 Å, b = 3.682 Å, c = 5.502 Å
α = 109.55°, β = 109.55°, γ = 90.00°
Atoms (fractional coordinates):
Br1 0.250 0.750 0.500
Ru1 0.500 0.500 0.000
Ru2 0.750 0.250 0.500
Br2 0.000 0.000 0.000

Results
V   65.7 Å³/cell
SG   I4_1/amd, No. 141



Going by the energies, model P is most stable and the next is 5.2 kJ/mol of atoms up.



Model P:
# SbRu2Br

A PBEsol-optimized structure of SbRu2Br (meta-GGA SCAN, Alexandria).

a = 2.990 Å, b = 4.058 Å, c = 6.313 Å
α = 108.75°, β = 103.70°, γ = 90.00°
Atoms (fractional coordinates):
Sb1 0.540 0.540 0.080
Br1 0.776 0.276 0.552
Ru1 0.239 0.739 0.478
Ru2 0.945 0.945 0.890

Results
V   70.2 Å³/cell
SG   Imm2, No. 44



Model Q:
# SbRu2Br

A PBEsol-optimized structure of SbRu2Br (meta-GGA SCAN, Alexandria).

a = 3.077 Å, b = 3.915 Å, c = 5.664 Å
α = 90.00°, β = 90.00°, γ = 90.00°
Atoms (fractional coordinates):
Br1 0.500 0.500 0.839
Ru1 0.500 0.500 0.259
Sb1 0.000 0.000 0.444
Ru2 0.000 0.000 0.958

Results
V   68.2 Å³/cell
SG   Pmm2, No. 25



Going by the energies, model Q is most stable and the next is 10.6 kJ/mol of atoms up.



Model P:
# SbRu2Br

A PBEsol-optimized structure of SbRu2Br (meta-GGA SCAN, Alexandria).

a = 3.087 Å, b = 4.322 Å, c = 6.807 Å
α = 87.91°, β = 76.89°, γ = 69.08°
Atoms (fractional coordinates):
Br1 0.000 0.500 0.500
Ru1 0.689 0.447 0.175
Sb1 0.500 0.000 0.000
Ru2 0.311 0.553 0.825

Results
V   82.5 Å³/cell
SG   C2/m, No. 12



Model Q:
# SbRu2Br

A PBEsol-optimized structure of SbRu2Br (meta-GGA SCAN, Alexandria).

a = 3.136 Å, b = 4.574 Å, c = 4.574 Å
α = 89.91°, β = 90.00°, γ = 90.00°
Last column: magnetic moment on the atom in μB.
Atoms (fractional coordinates):
Sb1 0.500 0.000 0.000  0.01
Ru1 0.000 0.500 0.000  0.78
Br1 0.500 0.500 0.500  0.09
Ru2 0.000 0.000 0.500  0.78

Results
V   65.6 Å³/cell
SG   Cmmm, No. 65



Going by the energies, model P is most stable and the next is 34.9 kJ/mol of atoms up.



Model P:
# Ru2SeBr

A PBEsol-optimized structure of Ru2SeBr (meta-GGA SCAN, Alexandria).

a = 2.924 Å, b = 2.924 Å, c = 8.084 Å
α = 90.00°, β = 90.00°, γ = 90.00°
Atoms (fractional coordinates):
Ru1 0.500 0.500 0.235
Br1 0.500 0.500 0.810
Ru2 0.000 0.000 0.027
Se1 0.000 0.000 0.429

Results
V   69.1 Å³/cell
SG   P4mm, No. 99



Model Q:
# Ru2SeBr

A PBEsol-optimized structure of Ru2SeBr (meta-GGA SCAN, Alexandria).

a = 2.963 Å, b = 2.963 Å, c = 9.360 Å
α = 80.89°, β = 80.89°, γ = 60.00°
Atoms (fractional coordinates):
Se1 0.479 0.479 0.563
Ru1 0.006 0.006 0.983
Ru2 0.747 0.747 0.758
Br1 0.268 0.268 0.195

Results
V   70.0 Å³/cell
SG   R3m, No. 160



Model R:
# Ru2SeBr

A PBEsol-optimized structure of Ru2SeBr (meta-GGA SCAN, Alexandria).

a = 3.049 Å, b = 4.042 Å, c = 6.722 Å
α = 83.02°, β = 76.89°, γ = 67.84°
Atoms (fractional coordinates):
Ru1 0.138 0.557 0.167
Se1 0.500 0.000 0.000
Ru2 0.862 0.443 0.833
Br1 0.500 0.500 0.500

Results
V   74.7 Å³/cell
SG   C2/m, No. 12



Model S:
# Ru2SeBr

A PBEsol-optimized structure of Ru2SeBr (meta-GGA SCAN, Alexandria).

a = 3.082 Å, b = 3.082 Å, c = 6.539 Å
α = 90.00°, β = 90.00°, γ = 90.00°
Atoms (fractional coordinates):
Ru1 0.000 0.000 0.214
Ru2 0.000 0.000 0.786
Se1 0.500 0.500 0.000
Br1 0.500 0.500 0.500

Results
V   62.1 Å³/cell
SG   P4/mmm, No. 123



Going by the energies, model R is most stable and the next is 5.2 kJ/mol of atoms up.



Model P:
# RuSe2Br

A PBEsol-optimized structure of RuSe2Br (meta-GGA SCAN, Alexandria).

a = 3.304 Å, b = 3.304 Å, c = 8.797 Å
α = 79.18°, β = 79.18°, γ = 60.00°
Last column: magnetic moment on the atom in μB.
Atoms (fractional coordinates):
Br1 0.521 0.521 0.437  0.06
Se1 0.981 0.981 0.056  -0.02
Ru1 0.258 0.258 0.225  0.81
Se2 0.739 0.739 0.782  -0.03

Results
V   81.2 Å³/cell
SG   R3m, No. 160



Model Q:
# RuSe2Br

A PBEsol-optimized structure of RuSe2Br (meta-GGA SCAN, Alexandria).

a = 2.989 Å, b = 4.768 Å, c = 6.111 Å
α = 112.96°, β = 104.15°, γ = 90.00°
Atoms (fractional coordinates):
Ru1 0.000 0.500 0.000
Se1 0.315 0.315 0.629
Se2 0.685 0.685 0.371
Br1 0.500 0.000 0.000

Results
V   77.3 Å³/cell
SG   Immm, No. 71



Model R:
# RuSe2Br

A PBEsol-optimized structure of RuSe2Br (meta-GGA SCAN, Alexandria).

a = 3.750 Å, b = 3.745 Å, c = 7.861 Å
α = 103.96°, β = 90.00°, γ = 120.05°
Atoms (fractional coordinates):
Se1 0.113 0.226 0.343
Ru1 0.500 0.000 0.500
Br1 0.000 0.000 0.000
Se2 0.887 0.774 0.657

Results
V   91.8 Å³/cell
SG   C2/m, No. 12



Going by the energies, model R is most stable and the next is 37.2 kJ/mol of atoms up.



Model P:
# SrRu2Br

A PBEsol-optimized structure of SrRu2Br (meta-GGA SCAN, Alexandria).

a = 3.513 Å, b = 4.485 Å, c = 5.220 Å
α = 90.00°, β = 90.00°, γ = 90.72°
Atoms (fractional coordinates):
Br1 0.500 0.000 0.500
Ru1 0.379 0.250 0.000
Sr1 0.000 0.500 0.500
Ru2 0.621 0.750 0.000

Results
V   82.3 Å³/cell
SG   P2/m, No. 10



Model Q:
# SrRu2Br

A PBEsol-optimized structure of SrRu2Br (meta-GGA SCAN, Alexandria).

a = 3.019 Å, b = 4.747 Å, c = 5.827 Å
α = 114.04°, β = 105.01°, γ = 90.00°
Atoms (fractional coordinates):
Ru1 0.276 0.276 0.551
Sr1 0.500 0.000 0.000
Ru2 0.724 0.724 0.449
Br1 0.000 0.500 0.000

Results
V   73.1 Å³/cell
SG   Immm, No. 71



Going by the energies, model P is most stable and the next is 17.4 kJ/mol of atoms up.